(1)
Computed, not measured: an optimized crystal structure of YReH3 at the PBE level of DFT.

Fermi-level density of states: 2.1 states/eV/cell
Energy above the lowest structure with this stoichiometry: 0.0 meV per atom

abc: 3.675 3.675 3.675
angles: 90.00 90.00 90.00
Space group Pm-3m (No. 221)
Symmetry-distinct sites (fractional):
Y: 0.000 0.000 0.000 x1
Re: 0.500 0.500 0.500 x1
H: 0.000 0.500 0.500 x3

(2)
Computed, not measured: an optimized crystal structure of SiMo2Pb at the PBE level of DFT.

Formation energy from raw total energies: 0.6876 eV per atom
Fermi-level density of states: 13.2 states/eV/cell
Energy above the lowest structure with this stoichiometry: 528.5 meV per atom

abc: 4.130 4.130 18.694
angles: 90.00 90.00 90.00
Space group I-42d (No. 122)
Symmetry-distinct sites (fractional):
Si: 0.000 0.000 0.000 x4
Mo: 0.170 0.250 0.125 x8
Pb: 0.000 0.000 0.500 x4

(3)
Computed, not measured: an optimized crystal structure of CeAg2Sb at the PBE level of DFT.

Formation energy from raw total energies: 0.2642 eV per atom
Fermi-level density of states: 15.5 states/eV/cell

abc: 3.0700 3.0700 34.5502
angles: 90.00 90.00 120.00
Space group R-3m (No. 166, hexagonal axes)
Symmetry-distinct sites (fractional):
Ce: 0.0000 0.0000 0.0000 x3
Ag: 0.0000 0.0000 0.0893 x6
Sb: 0.0000 0.0000 0.5000 x3

(4)
Computed, not measured: an optimized crystal structure of Zr2CdS2 at the PBE level of DFT.

Formation energy from raw total energies: -0.7365 eV per atom
Fermi-level density of states: 9.3 states/eV/cell
Energy above the lowest structure with this stoichiometry: 98.7 meV per atom

abc: 4.516 4.516 11.072
angles: 90.00 90.00 90.00
Space group I4/mmm (No. 139)
Symmetry-distinct sites (fractional):
Zr: 0.000 0.000 0.137 x4
Cd: 0.000 0.000 0.500 x2
S: 0.000 0.500 0.250 x4

(5)
Computed, not measured: an optimized crystal structure of HfRuIN2 at the PBE level of DFT.

Formation energy from raw total energies: 1.1933 eV per atom
Fermi-level density of states: 4.2 states/eV/cell
Energy above the lowest structure with this stoichiometry: 274.8 meV per atom

abc: 3.983 3.983 5.316
angles: 90.00 90.00 90.00
Space group P4/mmm (No. 123)
Symmetry-distinct sites (fractional):
Hf: 0.000 0.000 0.000 x1
Ru: 0.500 0.500 0.500 x1
I: 0.500 0.500 0.000 x1
N: 0.000 0.500 0.500 x2

(6)
Computed, not measured: an optimized crystal structure of MnCoSb2 at the PBE level of DFT.

Formation energy from raw total energies: 0.0555 eV per atom
Fermi-level density of states: 6.4 states/eV/cell
Energy above the lowest structure with this stoichiometry: 0.0 meV per atom

abc: 3.998 3.654 9.689
angles: 90.00 90.00 90.00
Space group Amm2 (No. 38)
Symmetry-distinct sites (fractional):
Mn: 0.000 0.000 0.000 x2
Co: 0.500 0.000 0.151 x2
Sb: 0.000 0.000 0.716 x2
Sb: 0.500 0.000 0.431 x2

V readings, ordered: 49.6, 318.9, 282.0, 225.8, 84.3, 141.5 Å³/cell
Total magnetic moment readings, ordered: 0.000, 0.000, 0.469, 0.000, 0.301, 3.378 μB per formula unit